# 1
OsSe2Br PBE-GGA relaxed; distance to the lowest polymorph of the same formula = 0.4585 eV per atom; symmetry = Cmmm (65); formation energy from raw total energies = 0.49 eV/atom; total moment = 0.00 μB per cell; D(E_F) = 1.246 states/eV/atom
1.0
1.419 -2.785 0.000
1.419 2.785 0.000
0.000 0.000 11.628
Os Se Br
1 2 1
Cartesian
0.000 0.000 0.000
1.419 0.000 2.080
1.419 0.000 9.547
0.000 0.000 5.814

---

# 2
OsSe2Br PBE-GGA relaxed; distance to the lowest polymorph of the same formula = 0.3235 eV per atom; symmetry = Imm2 (44); formation energy from raw total energies = 0.36 eV/atom; total moment = 0.00 μB per cell; D(E_F) = 0.813 states/eV/atom
1.0
-1.621 2.273 6.554
1.621 -2.273 6.554
1.621 2.273 -6.554
Os Se Br
1 2 1
Cartesian
0.000 0.000 0.000
0.000 0.000 6.209
0.000 2.273 4.733
1.621 0.000 2.120

---

# 3
OsSe2Br PBE-GGA relaxed; distance to the lowest polymorph of the same formula = 0.2914 eV per atom; symmetry = Cm (8); formation energy from raw total energies = 0.33 eV/atom; total moment = 0.00 μB per cell; D(E_F) = 1.092 states/eV/atom
1.0
3.207 -1.851 0.000
3.207 1.851 0.000
-0.121 0.000 8.524
Os Se Br
1 2 1
Cartesian
0.000 0.000 0.000
2.138 0.000 1.086
2.140 0.000 3.526
4.157 0.000 6.939

---

Among the records above, which one has the highest D(E_F)?
number 1